BeAgRu2: optimized geometry, PBE.

POSCAR file:
```
BeAgRu2
1.0
5.1801 0.0000 0.0000
0.0000 9.1161 0.0000
-1.2710 0.0000 2.3862
Be Ag Ru
2 2 4
Direct
0.0000 0.0000 0.0000
0.5000 0.5000 0.0000
0.0000 0.5000 0.0000
0.5000 0.0000 0.0000
0.2500 0.2500 0.5000
0.2500 0.7500 0.5000
0.7500 0.2500 0.5000
0.7500 0.7500 0.5000
```

Calculated values
DFT formation energy (eV per atom): 0.50
Total moment (Bohr magnetons per cell): 0.00

---

BeAgRu2: optimized geometry, PBE.

POSCAR file:
```
BeAgRu2
1.0
2.8164 0.0000 0.0000
0.0000 4.5264 0.0000
0.0000 0.0000 8.6705
Be Ag Ru
2 2 4
Direct
0.0000 0.0000 0.0000
0.5000 0.5000 0.0000
0.0000 0.0000 0.5000
0.5000 0.5000 0.5000
0.0000 0.5000 0.2126
0.0000 0.5000 0.7874
0.5000 0.0000 0.2126
0.5000 0.0000 0.7874
```

Calculated values
DFT formation energy (eV per atom): 0.33
Total moment (Bohr magnetons per cell): 0.00

---

BeAgRu2: optimized geometry, PBE.

POSCAR file:
```
BeAgRu2
1.0
2.7560 0.0000 0.0000
0.0000 3.6231 0.0000
0.0000 0.0000 5.6239
Be Ag Ru
1 1 2
Direct
0.0000 0.0000 0.0000
0.5000 0.5000 0.7492
0.0000 0.0000 0.4290
0.5000 0.5000 0.2294
```

Calculated values
DFT formation energy (eV per atom): 0.22
Total moment (Bohr magnetons per cell): 0.00